! BaMo2Se | Alexandria via LeMat-Bulk | GGA-PBE | optimized geometry; values from VASP
! Uncorrected formation energy, meV/atom: 159
! Density, Mg/m³: 7.520
! Symmetry: P4mm, No. 99
! Spin magnetization, μB per cell: 0.0
! Electronic total energy, eV per cell: -26.433
&SYSTEM
  ibrav = 0, nat = 4, ntyp = 3
/
ATOMIC_SPECIES
Ba 137.33 Ba.upf
Mo 95.94 Mo.upf
Se 78.96 Se.upf
CELL_PARAMETERS angstrom
3.398 0.000 0.000
0.000 3.398 0.000
0.000 0.000 7.806
ATOMIC_POSITIONS crystal
Ba 0.500 0.500 0.745
Mo 0.000 0.000 0.087
Mo 0.500 0.500 0.237
Se 0.000 0.000 0.431

***

! HoPaN2 | Alexandria via LeMat-Bulk | GGA-PBE | optimized geometry; values from VASP
! Uncorrected formation energy, meV/atom: -1244
! Density, Mg/m³: 11.710
! Symmetry: P-3m1, No. 164
! Spin magnetization, μB per cell: 0.3
! Electronic total energy, eV per cell: -35.702
&SYSTEM
  ibrav = 0, nat = 4, ntyp = 3
/
ATOMIC_SPECIES
Ho 164.93 Ho.upf
Pa 231.04 Pa.upf
N 14.01 N.upf
CELL_PARAMETERS angstrom
3.370 0.000 0.000
-1.685 2.919 0.001
0.000 -0.003 6.113
ATOMIC_POSITIONS crystal
Ho 0.000 0.500 0.500
Pa 0.000 0.500 0.000
N 0.667 0.833 0.746
N 0.333 0.167 0.254

***

! LiCa2Si3Au4 | Alexandria via LeMat-Bulk | GGA-PBE | optimized geometry; values from VASP
! Uncorrected formation energy, meV/atom: -541
! Density, Mg/m³: 8.217
! Symmetry: P-4m2, No. 115
! Spin magnetization, μB per cell: 0.0
! Electronic total energy, eV per cell: -40.710
&SYSTEM
  ibrav = 0, nat = 10, ntyp = 4
/
ATOMIC_SPECIES
Li 6.94 Li.upf
Ca 40.08 Ca.upf
Si 28.09 Si.upf
Au 196.97 Au.upf
CELL_PARAMETERS angstrom
4.388 0.000 0.000
0.000 4.388 0.000
0.000 0.000 10.069
ATOMIC_POSITIONS crystal
Li 0.500 0.500 0.500
Ca 0.500 0.000 0.248
Ca 0.000 0.500 0.752
Si 0.000 0.000 0.500
Si 0.500 0.000 0.865
Si 0.000 0.500 0.135
Au 0.500 0.500 0.000
Au 0.000 0.000 0.000
Au 0.500 0.000 0.625
Au 0.000 0.500 0.375

***

! Th2MgSn | Alexandria via LeMat-Bulk | GGA-PBE | optimized geometry; values from VASP
! Density, Mg/m³: 8.714
! Symmetry: P4/mmm, No. 123
! Spin magnetization, μB per cell: 0.0
! Electronic total energy, eV per cell: -21.395
&SYSTEM
  ibrav = 0, nat = 4, ntyp = 3
/
ATOMIC_SPECIES
Mg 24.30 Mg.upf
Sn 118.71 Sn.upf
Th 232.04 Th.upf
CELL_PARAMETERS angstrom
-1.498 3.820 0.291
-2.891 -0.922 -2.778
-4.178 -2.021 5.019
ATOMIC_POSITIONS crystal
Mg 0.500 0.500 0.000
Sn 0.500 0.500 0.500
Th 0.000 0.000 0.741
Th 0.000 0.000 0.259

***

! NpMnRe | Alexandria via LeMat-Bulk | GGA-PBE | optimized geometry; values from VASP
! Density, Mg/m³: 16.016
! Symmetry: Imm2, No. 44
! Spin magnetization, μB per cell: 1.1
! Electronic total energy, eV per cell: -33.514
&SYSTEM
  ibrav = 0, nat = 3, ntyp = 3
/
ATOMIC_SPECIES
Re 186.21 Re.upf
Mn 54.94 Mn.upf
Np 237.00 Np.upf
CELL_PARAMETERS angstrom
-0.250 2.690 1.431
-3.877 0.323 -1.284
0.826 -3.361 3.197
ATOMIC_POSITIONS crystal
Re 0.028 0.028 0.056
Mn 0.630 0.630 0.261
Np 0.342 0.342 0.684

***

! CaMgW2 | Alexandria via LeMat-Bulk | GGA-PBE | optimized geometry; values from VASP
! Density, Mg/m³: 8.608
! Symmetry: Pm, No. 6
! Spin magnetization, μB per cell: 0.0
! Electronic total energy, eV per cell: -27.404
&SYSTEM
  ibrav = 0, nat = 4, ntyp = 3
/
ATOMIC_SPECIES
Ca 40.08 Ca.upf
Mg 24.30 Mg.upf
W 183.84 W.upf
CELL_PARAMETERS angstrom
-0.338 4.097 0.227
-2.445 -0.112 -1.605
-5.427 -0.707 4.676
ATOMIC_POSITIONS crystal
Ca 0.000 0.452 0.483
Mg 0.500 0.739 0.796
W 0.000 0.067 0.022
W 0.500 0.243 0.199

***

! Er3Mg5Hg2 | Alexandria via LeMat-Bulk | GGA-PBE | optimized geometry; values from VASP
! Density, Mg/m³: 6.648
! Symmetry: Ibam, No. 72
! Spin magnetization, μB per cell: 0.0
! Electronic total energy, eV per cell: -46.090
&SYSTEM
  ibrav = 0, nat = 20, ntyp = 3
/
ATOMIC_SPECIES
Er 167.26 Er.upf
Mg 24.30 Mg.upf
Hg 200.59 Hg.upf
CELL_PARAMETERS angstrom
6.226 0.000 0.000
3.113 8.950 -1.506
3.113 0.923 9.029
ATOMIC_POSITIONS crystal
Er 0.250 0.000 0.000
Er 0.750 0.000 0.000
Er 0.365 0.376 0.895
Er 0.635 0.624 0.105
Er 0.865 0.895 0.376
Er 0.135 0.105 0.624
Mg 0.250 0.500 0.500
Mg 0.750 0.500 0.500
Mg 0.507 0.743 0.743
Mg 0.993 0.257 0.257
Mg 0.493 0.257 0.257
Mg 0.007 0.743 0.743
Mg 0.111 0.542 0.235
Mg 0.889 0.458 0.765
Mg 0.611 0.235 0.542
Mg 0.389 0.765 0.458
Hg 0.138 0.715 0.010
Hg 0.862 0.285 0.990
Hg 0.638 0.010 0.715
Hg 0.362 0.990 0.285

***

! LaNpB12 | Alexandria via LeMat-Bulk | GGA-PBE | optimized geometry; values from VASP
! Density, Mg/m³: 5.995
! Symmetry: P4/mmm, No. 123
! Spin magnetization, μB per cell: 4.2
! Electronic total energy, eV per cell: -103.918
&SYSTEM
  ibrav = 0, nat = 14, ntyp = 3
/
ATOMIC_SPECIES
La 138.91 La.upf
Np 237.00 Np.upf
B 10.81 B.upf
CELL_PARAMETERS angstrom
4.121 0.000 0.000
0.000 4.121 0.000
0.000 0.000 8.247
ATOMIC_POSITIONS crystal
La 0.000 0.000 0.500
Np 0.000 0.000 0.000
B 0.199 0.500 0.248
B 0.199 0.500 0.752
B 0.500 0.500 0.399
B 0.500 0.500 0.902
B 0.500 0.199 0.248
B 0.500 0.199 0.752
B 0.500 0.500 0.098
B 0.500 0.500 0.601
B 0.500 0.801 0.248
B 0.500 0.801 0.752
B 0.801 0.500 0.248
B 0.801 0.500 0.752